The following is a DFT calculation (PBE-GGA) of a geometry-optimized Hg2I structure.

Properties
ρ in g/cm3: 7.1
Raw formation energy in meV/atom: -71
Crystal system: monoclinic
DOS at the Fermi energy in states/eV per atom: 0.431
Energy above the lowest structure with this stoichiometry in meV per atom: 57

a = 7.5476 Å, b = 7.5475 Å, c = 5.7508 Å
α = 90.00°, β = 130.89°, γ = 90.00°
Closest atoms and distances in Å follow each position.
Space group C2/m (No. 12)
Inequivalent atoms, fractional coordinates:
Hg  0.1602  0.0000  0.3207  1 Hg 2.79, 1 I 2.95
I  0.0000  0.5000  0.0000  2 Hg 2.95

***

The following is a DFT calculation (PBE-GGA) of a geometry-optimized Hg5I2 structure.

Properties
ρ in g/cm3: 8.4
Raw formation energy in meV/atom: -125
Crystal system: monoclinic

a = 11.6667 Å, b = 6.9793 Å, c = 12.6856 Å
α = 90.00°, β = 106.87°, γ = 90.00°
Closest atoms and distances in Å follow each position.
Space group C2/c (No. 15)
Inequivalent atoms, fractional coordinates:
Hg  0.0000  0.2503  0.2500  6 Hg 3.33-3.40
Hg  0.1426  0.2498  0.5187  1 Hg 2.68, 1 I 2.76
Hg  0.2500  0.9996  0.2503  6 Hg 3.33-3.49
I  0.0781  0.2499  0.9414  1 Hg 2.76

***

The following is a DFT calculation (PBE-GGA) of a geometry-optimized HgI3 structure.

Properties
ρ in g/cm3: 4.9
Raw formation energy in meV/atom: -96
Crystal system: triclinic
DOS at the Fermi energy in states/eV per atom: 0.319
Energy above the lowest structure with this stoichiometry in meV per atom: 123

a = 7.0393 Å, b = 7.2092 Å, c = 7.9092 Å
α = 85.06°, β = 80.13°, γ = 81.69°
Closest atoms and distances in Å follow each position.
Space group P-1 (No. 2)
Inequivalent atoms, fractional coordinates:
Hg  0.0473  0.2214  0.3408  4 I 2.76-3.03
I  0.0387  0.8299  0.2702  2 Hg 2.93-3.03
I  0.2476  0.5069  0.7474  1 Hg 2.78
I  0.4456  0.1937  0.2385  1 Hg 2.76

***

The following is a DFT calculation (PBE-GGA) of a geometry-optimized Hg2I structure.

Properties
ρ in g/cm3: 9.6
Raw formation energy in meV/atom: 127
Crystal system: cubic
DOS at the Fermi energy in states/eV per atom: 1.428
Energy above the lowest structure with this stoichiometry in meV per atom: 254

a = 9.0174 Å, b = 9.0174 Å, c = 9.0174 Å
α = 90.00°, β = 90.00°, γ = 90.00°
Closest atoms and distances in Å follow each position.
Space group Fd-3m (No. 227, origin choice 2)
Inequivalent atoms, fractional coordinates:
Hg  0.0000  0.0000  0.0000  6 Hg 3.19
I  0.1250  0.1250  0.6250  12 Hg 3.74, 4 I 3.90

***

The following is a DFT calculation (PBE-GGA) of a geometry-optimized Hg4I structure.

Properties
ρ in g/cm3: 9.4
Raw formation energy in meV/atom: -71
Crystal system: triclinic
DOS at the Fermi energy in states/eV per atom: 0.199
Energy above the lowest structure with this stoichiometry in meV per atom: 0

a = 4.8746 Å, b = 7.6913 Å, c = 9.2824 Å
α = 92.59°, β = 90.17°, γ = 108.46°
Closest atoms and distances in Å follow each position.
Space group P1 (No. 1)
Inequivalent atoms, fractional coordinates:
Hg  0.0000  0.0000  0.0000  5 Hg 3.05-3.23
Hg  0.0073  0.1262  0.3166  3 Hg 2.91-3.05, 1 I 3.14
Hg  0.0855  0.2839  0.6109  3 Hg 2.91-3.04, 1 I 3.15
Hg  0.1438  0.7999  0.4132  4 Hg 2.97-3.03
Hg  0.2117  0.4087  0.9269  5 Hg 3.04-3.22
Hg  0.3964  0.7687  0.1184  4 Hg 3.03-3.23
Hg  0.5491  0.6095  0.5141  4 Hg 2.97-3.03
Hg  0.8357  0.6403  0.8089  4 Hg 3.03-3.22
I  0.4929  0.0284  0.7240  4 Hg 3.15-3.48
I  0.6691  0.3807  0.2027  4 Hg 3.14-3.46

***

The following is a DFT calculation (PBE-GGA) of a geometry-optimized Hg4I structure.

Properties
ρ in g/cm3: 5.4
Raw formation energy in meV/atom: 158
Crystal system: cubic
DOS at the Fermi energy in states/eV per atom: 0.696
Energy above the lowest structure with this stoichiometry in meV per atom: 229

a = 6.5711 Å, b = 6.5711 Å, c = 6.5711 Å
α = 90.00°, β = 90.00°, γ = 90.00°
Closest atoms and distances in Å follow each position.
Space group Pm-3m (No. 221)
Inequivalent atoms, fractional coordinates:
Hg  0.0000  0.0000  0.0000  12 Hg 4.65
Hg  0.0000  0.5000  0.5000  2 I 3.29
I  0.5000  0.5000  0.5000  6 Hg 3.29

***

The following is a DFT calculation (PBE-GGA) of a geometry-optimized HgI4 structure.

Properties
ρ in g/cm3: 5.6
Raw formation energy in meV/atom: 230
Crystal system: cubic
DOS at the Fermi energy in states/eV per atom: 1.430

a = 5.9403 Å, b = 5.9403 Å, c = 5.9403 Å
α = 90.00°, β = 90.00°, γ = 90.00°
Closest atoms and distances in Å follow each position.
Space group Pm-3m (No. 221)
Inequivalent atoms, fractional coordinates:
Hg  0.0000  0.0000  0.0000  6 I 2.97
I  0.0000  0.0000  0.5000  2 Hg 2.97
I  0.5000  0.5000  0.5000  12 I 4.20

***

The following is a DFT calculation (PBE-GGA) of a geometry-optimized HgI3 structure.

Properties
ρ in g/cm3: 4.7
Raw formation energy in meV/atom: -220
Crystal system: monoclinic
DOS at the Fermi energy in states/eV per atom: 0.000
Energy above the lowest structure with this stoichiometry in meV per atom: 0

a = 13.7804 Å, b = 6.7733 Å, c = 10.4269 Å
α = 90.00°, β = 123.31°, γ = 90.00°
Closest atoms and distances in Å follow each position.
Space group C2 (No. 5)
Inequivalent atoms, fractional coordinates:
Hg  0.1879  0.0000  0.0804  4 I 2.85-2.88
I  0.0000  0.7258  0.5000  2 I 2.94
I  0.0000  0.7374  0.0000  2 Hg 2.86
I  0.1140  0.2546  0.8246  2 Hg 2.85-2.87
I  0.2466  0.2276  0.3471  1 Hg 2.88, 1 I 2.94

***

The following is a DFT calculation (PBE-GGA) of a geometry-optimized HgI3 structure.

Properties
ρ in g/cm3: 5.0
Raw formation energy in meV/atom: -191
Crystal system: triclinic
Energy above the lowest structure with this stoichiometry in meV per atom: 28

a = 4.6221 Å, b = 9.1114 Å, c = 9.4897 Å
α = 86.98°, β = 77.42°, γ = 79.95°
Closest atoms and distances in Å follow each position.
Space group P1 (No. 1)
Inequivalent atoms, fractional coordinates:
Hg  0.0000  0.0000  0.0000  4 I 2.82-2.97
Hg  0.2921  0.6240  0.4773  2 I 2.65
I  0.0938  0.1654  0.7332  1 Hg 2.87, 1 I 2.93
I  0.1632  0.4425  0.8567  2 I 2.93-2.96
I  0.2954  0.6978  0.9982  1 Hg 2.85, 1 I 2.96
I  0.4162  0.0809  0.1706  2 Hg 2.82-2.97
I  0.7682  0.4205  0.3800  1 Hg 2.65
I  0.8500  0.8491  0.5603  1 Hg 2.65

***

The following is a DFT calculation (PBE-GGA) of a geometry-optimized Hg4I7 structure.

Properties
ρ in g/cm3: 4.7
Raw formation energy in meV/atom: -210
Crystal system: tetragonal
DOS at the Fermi energy in states/eV per atom: 0.368

a = 9.6525 Å, b = 9.6525 Å, c = 6.4449 Å
α = 90.00°, β = 90.00°, γ = 90.00°
Closest atoms and distances in Å follow each position.
Space group P-4m2 (No. 115)
Inequivalent atoms, fractional coordinates:
Hg  0.0000  0.2703  0.2372  4 I 2.87-3.11
I  0.0000  0.0000  0.5000  4 Hg 3.11
I  0.0000  0.5000  0.5227  2 Hg 2.88
I  0.2511  0.2511  0.0000  2 Hg 2.87

***

The following is a DFT calculation (PBE-GGA) of a geometry-optimized HgI3 structure.

Properties
ρ in g/cm3: 5.3
Raw formation energy in meV/atom: -107
Crystal system: orthorhombic
DOS at the Fermi energy in states/eV per atom: 0.355
Energy above the lowest structure with this stoichiometry in meV per atom: 112

a = 4.7261 Å, b = 12.0273 Å, c = 6.4592 Å
α = 90.00°, β = 90.00°, γ = 90.00°
Closest atoms and distances in Å follow each position.
Space group Amm2 (No. 38)
Inequivalent atoms, fractional coordinates:
Hg  0.0000  0.0000  0.0000  4 I 2.85-2.94
I  0.0000  0.2238  0.8532  1 Hg 2.85
I  0.5000  0.0000  0.2712  2 Hg 2.94

***

The following is a DFT calculation (PBE-GGA) of a geometry-optimized HgI3 structure.

Properties
ρ in g/cm3: 7.0
Raw formation energy in meV/atom: 342
Crystal system: cubic
DOS at the Fermi energy in states/eV per atom: 1.058
Energy above the lowest structure with this stoichiometry in meV per atom: 561

a = 8.1972 Å, b = 8.1972 Å, c = 8.1972 Å
α = 90.00°, β = 90.00°, γ = 90.00°
Closest atoms and distances in Å follow each position.
Space group Fm-3m (No. 225)
Inequivalent atoms, fractional coordinates:
Hg  0.0000  0.0000  0.0000  8 I 3.55
I  0.0000  0.0000  0.5000  8 I 3.55
I  0.2500  0.2500  0.2500  4 I 3.55, 4 Hg 3.55

***

So what do the calculations give for electronic total energy? Going down the list: -4.73, -21.94, -10.67, -14.19, -6.22, -1.97, -5.35, -23.32, -11.43, -14.36, -10.76, -14.34 eV per cell.